The following is a PBE calculation of a relaxed structure of YTeBrO4, from the Alexandria database.

CIF file:
```
data_YTeBrO4
_cell_length_a 6.4576
_cell_length_b 6.4576
_cell_length_c 7.0387
_cell_angle_alpha 76.39
_cell_angle_beta 76.39
_cell_angle_gamma 68.33
_symmetry_space_group_name_H-M 'P 1'
_symmetry_Int_Tables_number 1
loop_
_symmetry_equiv_pos_as_xyz
'x,y,z'
loop_
_atom_site_label
_atom_site_fract_x
_atom_site_fract_y
_atom_site_fract_z
Te1 0.3654 0.3654 0.2677
Te2 0.6346 0.6346 0.7323
O1 0.7059 0.7059 0.4652
O2 0.4569 0.4569 0.8029
O3 0.2941 0.2941 0.5348
O4 0.1110 0.4824 0.1441
O5 0.5176 0.8890 0.8559
O6 0.8890 0.5176 0.8559
O7 0.4824 0.1110 0.1441
O8 0.5431 0.5431 0.1971
Br1 0.0078 0.0078 0.2427
Br2 0.9922 0.9922 0.7573
Y1 0.7708 0.7708 0.1207
Y2 0.2292 0.2292 0.8793
```

Results
SG   C2/m, No. 12
Raw formation energy   -1670 meV/atom
Total DFT energy (no corrections)   -6.114 eV/atom

***

The following is a PBE calculation of a relaxed structure of Zr2Te4Br2O11, from the Alexandria database.

CIF file:
```
data_Zr2Te4Br2O11
_cell_length_a 7.9554
_cell_length_b 10.2840
_cell_length_c 10.9232
_cell_angle_alpha 114.60
_cell_angle_beta 109.06
_cell_angle_gamma 96.33
_symmetry_space_group_name_H-M 'P 1'
_symmetry_Int_Tables_number 1
loop_
_symmetry_equiv_pos_as_xyz
'x,y,z'
loop_
_atom_site_label
_atom_site_fract_x
_atom_site_fract_y
_atom_site_fract_z
O1 0.6549 0.1458 0.4885
O2 0.5052 0.6620 0.3303
O3 0.0467 0.3139 0.6628
O4 0.3451 0.8542 0.5115
O5 0.1762 0.7483 0.1771
O6 0.8088 0.5771 0.9357
O7 0.7335 0.9235 0.5984
O8 0.3996 0.4926 0.8898
O9 0.8439 0.3891 0.0829
O10 0.4948 0.3380 0.6697
O11 0.1561 0.6109 0.9171
O12 0.0871 0.1345 0.8316
O13 0.2665 0.0765 0.4016
O14 0.9533 0.6861 0.3372
O15 0.1912 0.4229 0.0643
O16 0.8238 0.2517 0.8229
O17 0.4644 0.1914 0.8540
O18 0.1226 0.0091 0.6025
O19 0.9129 0.8655 0.1684
O20 0.5356 0.8086 0.1460
O21 0.8774 0.9909 0.3975
O22 0.6004 0.5074 0.1102
Zr1 0.8866 0.1104 0.6176
Zr2 0.3752 0.6088 0.1084
Zr3 0.6248 0.3912 0.8916
Zr4 0.1134 0.8896 0.3824
Br1 0.6367 0.8910 0.8915
Br2 0.3633 0.1090 0.1085
Br3 0.1271 0.3975 0.3778
Br4 0.8729 0.6025 0.6222
Te1 0.8027 0.4965 0.2630
Te2 0.0007 0.2538 0.9971
Te3 0.9993 0.7462 0.0029
Te4 0.2727 0.0295 0.7954
Te5 0.4658 0.2420 0.4712
Te6 0.5342 0.7580 0.5288
Te7 0.1973 0.5035 0.7370
Te8 0.7273 0.9705 0.2046
```

Results
SG   P-1, No. 2
Raw formation energy   -1701 meV/atom
Total DFT energy (no corrections)   -6.309 eV/atom